[1]
VASP calculation (GGA-PBE) on a geometry-optimized Dy2TmGa6 structure.

The space group is P6/mmm (No. 191) and the conventional cell measures 7.4599, 7.4599 and 3.7959 Å, with angles of 90.00, 90.00 and 120.00 degrees. The inequivalent atoms are Dy at (0.3333, 0.6667, 0.0000), Tm at (0.0000, 0.0000, 0.0000) and Ga at (0.0000, 0.3326, 0.5000).

As for the calculated total energy: -37.42 eV for the cell shown. The calculation puts the energy above the lowest structure with this stoichiometry at 0 meV/atom. Its energy of formation is -620 meV per atom.

[2]
VASP calculation (GGA-PBE) on a geometry-optimized DyTm3Ga8 structure.

The space group is R3m (No. 160, hexagonal axes) and the conventional cell measures 5.4495, 5.4495 and 27.0835 Å, with angles of 90.00, 90.00 and 120.00 degrees. The inequivalent atoms are Dy at (0.0000, 0.0000, 0.0000), Tm at (0.0000, 0.0000, 0.1241), Tm at (0.0000, 0.0000, 0.5002), Tm at (0.0000, 0.0000, 0.6237), Ga at (0.0000, 0.0000, 0.3119), Ga at (0.0000, 0.0000, 0.8122), Ga at (0.0001, 0.5001, 0.0624) and Ga at (0.9998, 0.4999, 0.5617).

As for the calculated total energy: -145.85 eV for the cell shown. Its energy of formation is -532 meV per atom.

[3]
VASP calculation (GGA-PBE) on a geometry-optimized DyTm3Ga4 structure.

The space group is Immm (No. 71) and the conventional cell measures 3.5183, 6.7039 and 16.4112 Å, with angles of 90.00, 90.00 and 90.00 degrees. The inequivalent atoms are Dy at (0.0000, 0.0000, 0.0000), Tm at (0.0000, 0.0000, 0.5000), Tm at (0.0000, 0.5000, 0.2974) and Ga at (0.0000, 0.3076, 0.1302).

As for the calculated total energy: -67.52 eV for the cell shown. The calculation puts the energy above the lowest structure with this stoichiometry at 116 meV/atom. Its energy of formation is -455 meV per atom.

[4]
VASP calculation (GGA-PBE) on a geometry-optimized DyTmGa structure.

The space group is P3m1 (No. 156) and the conventional cell measures 4.9397, 4.9397 and 3.6168 Å, with angles of 90.00, 90.00 and 120.00 degrees. The inequivalent atoms are Dy at (0.0000, 0.0000, 0.0000), Tm at (0.3333, 0.6667, 0.5336) and Ga at (0.6667, 0.3333, 0.3059).

As for the calculated total energy: -12.92 eV for the cell shown. The calculation puts the energy above the lowest structure with this stoichiometry at 123 meV/atom. Its energy of formation is -272 meV per atom.

[5]
VASP calculation (GGA-PBE) on a geometry-optimized DyTmGa structure.

The space group is F-43m (No. 216) and the conventional cell measures 6.9667, 6.9667 and 6.9667 Å, with angles of 90.00, 90.00 and 90.00 degrees. The inequivalent atoms are Dy at (0.0000, 0.0000, 0.0000), Tm at (0.0000, 0.0000, 0.5000) and Ga at (0.2500, 0.2500, 0.2500).

As for the calculated total energy: -51.40 eV for the cell shown. The calculation puts the energy above the lowest structure with this stoichiometry at 145 meV/atom. Its energy of formation is -250 meV per atom.

[6]
VASP calculation (GGA-PBE) on a geometry-optimized Dy5Tm3Ga12 structure.

The space group is Ia-3d (No. 230) and the conventional cell measures 16.6564, 16.6564 and 16.6564 Å, with angles of 90.00, 90.00 and 90.00 degrees. The inequivalent atoms are Dy at (0.0000, 0.0000, 0.0000), Dy at (0.0000, 0.2500, 0.3750), Tm at (0.0000, 0.2500, 0.1250) and Ga at (0.0069, 0.0777, 0.1498).

As for the calculated total energy: -581.39 eV for the cell shown. Its energy of formation is 4 meV per atom.

Repeat the fifth record exactly.
VASP calculation (GGA-PBE) on a geometry-optimized DyTmGa structure.

The space group is F-43m (No. 216) and the conventional cell measures 6.9667, 6.9667 and 6.9667 Å, with angles of 90.00, 90.00 and 90.00 degrees. The inequivalent atoms are Dy at (0.0000, 0.0000, 0.0000), Tm at (0.0000, 0.0000, 0.5000) and Ga at (0.2500, 0.2500, 0.2500).

As for the calculated total energy: -51.40 eV for the cell shown. The calculation puts the energy above the lowest structure with this stoichiometry at 145 meV/atom. Its energy of formation is -250 meV per atom.

> Among the records above, which one has the lowest energy of formation?

Dy2TmGa6

> Which of these has the highest calculated total energy?

number 4

> Which formula does entry 3 have?

DyTm3Ga4